A plane-wave DFT calculation with GGA-PBE was carried out for a relaxed TbTiAl2 crystal.

Cell lengths 4.817, 4.817, 4.817 Å; angles 60.00, 60.00, 60.00 degrees
Element x y z (fractional)
Tb 0.000 0.000 0.000
Ti 0.500 0.500 0.500
Al 0.250 0.250 0.250
Al 0.750 0.750 0.750

## Properties
As for the crystal system: cubic. For the electronic total energy, the calculation gives -5.221 eV/atom. Its density of states at the Fermi level is 4.6 states/eV/f.u.